Entry from the Alexandria database: a relaxed structure of LaTaZnCr2 (GGA-PBEsol).

```
data_LaTaZnCr2
_chemical_formula_sum 'La1 Ta1 Zn1 Cr2'
_symmetry_space_group_name_H-M 'P 4/m m m'
_symmetry_Int_Tables_number 123
_symmetry_space_group_name_Hall '-P 4 2'
_cell_length_a 4.6342
_cell_length_b 4.6342
_cell_length_c 4.9077
_cell_angle_alpha 90.00
_cell_angle_beta 90.00
_cell_angle_gamma 90.00
loop_
_atom_site_label
_atom_site_type_symbol
_atom_site_fract_x
_atom_site_fract_y
_atom_site_fract_z
La1 La 0.0000 0.0000 0.0000
Ta1 Ta 0.5000 0.5000 0.0000
Zn1 Zn 0.5000 0.5000 0.5000
Cr1 Cr 0.0000 0.5000 0.5000
```

Computed properties:
final energy = -6.89 eV/atom
formation energy = 1.11 eV/atom

***

Entry from the Alexandria database: a relaxed structure of ZnGaCoF2 (GGA-PBEsol).

```
data_ZnGaCoF2
_chemical_formula_sum 'Zn1 Ga1 Co1 F2'
_symmetry_space_group_name_H-M 'P 4/m m m'
_symmetry_Int_Tables_number 123
_symmetry_space_group_name_Hall '-P 4 2'
_cell_length_a 3.7843
_cell_length_b 3.7843
_cell_length_c 5.0990
_cell_angle_alpha 90.00
_cell_angle_beta 90.00
_cell_angle_gamma 90.00
loop_
_atom_site_label
_atom_site_type_symbol
_atom_site_fract_x
_atom_site_fract_y
_atom_site_fract_z
Zn1 Zn 0.0000 0.0000 0.0000
Ga1 Ga 0.5000 0.5000 0.0000
Co1 Co 0.0000 0.0000 0.5000
F1 F 0.0000 0.5000 0.5000
```

Computed properties:
final energy = -4.04 eV/atom

***

Entry from the Alexandria database: a relaxed structure of Te2RhSe (GGA-PBEsol).

```
data_Te2RhSe
_chemical_formula_sum 'Te4 Rh2 Se2'
_symmetry_space_group_name_H-M 'I m m m'
_symmetry_Int_Tables_number 71
_symmetry_space_group_name_Hall '-I 2 2'
_cell_length_a 3.4962
_cell_length_b 4.3565
_cell_length_c 11.8297
_cell_angle_alpha 90.00
_cell_angle_beta 90.00
_cell_angle_gamma 90.00
loop_
_atom_site_label
_atom_site_type_symbol
_atom_site_fract_x
_atom_site_fract_y
_atom_site_fract_z
Te1 Te 0.0000 0.0000 0.1706
Rh1 Rh 0.0000 0.5000 0.5000
Se1 Se 0.0000 0.5000 0.0000
```

Computed properties:
final energy = -4.80 eV/atom

***

Entry from the Alexandria database: a relaxed structure of CrAg2W (GGA-PBEsol).

```
data_CrAg2W
_chemical_formula_sum 'Cr2 Ag4 W2'
_symmetry_space_group_name_H-M 'C 1 m 1'
_symmetry_Int_Tables_number 8
_cell_length_a 8.9775
_cell_length_b 2.6146
_cell_length_c 5.1278
_cell_angle_alpha 90.00
_cell_angle_beta 95.96
_cell_angle_gamma 90.00
loop_
_symmetry_equiv_pos_as_xyz
'x,y,z'
'x,-y,z'
'x+1/2,y+1/2,z'
'x+1/2,-y+1/2,z'
loop_
_atom_site_label
_atom_site_type_symbol
_atom_site_fract_x
_atom_site_fract_y
_atom_site_fract_z
Cr1 Cr 0.0000 0.0000 0.0000
Ag1 Ag 0.2435 0.5000 0.2691
Ag2 Ag 0.4940 0.0000 0.5075
W1 W 0.2433 0.0000 0.7816
```

Computed properties:
polymorph energy (0 for the lowest one) = 4 meV/atom
final energy = -7.02 eV/atom
formation energy = 0.65 eV/atom

***

Which formula does entry 4 have? CrAg2W